1.
{
  "formula": "AcAs4Br",
  "functional": "PBE-GGA",
  "state": "relaxed",
  "formation_energy_uncorrected_ev_per_atom": -0.4217,
  "lattice_angstrom": [[0.000, 4.158, 4.158], [4.158, 0.000, 4.158], [4.158, 4.158, 0.000]],
  "species": ["Ac", "As", "As", "As", "As", "Br"],
  "fractional_positions": [[0.000, 0.000, 0.000], [0.387, 0.387, 0.387], [0.387, 0.387, 0.840], [0.387, 0.840, 0.387], [0.840, 0.387, 0.387], [0.750, 0.750, 0.750]]
}

---

2.
{
  "formula": "V3OsS",
  "functional": "PBE-GGA",
  "state": "relaxed",
  "formation_energy_uncorrected_ev_per_atom": 0.2785,
  "lattice_angstrom": [[4.201, 0.000, 0.000], [0.000, 4.201, 0.000], [0.000, 0.000, 4.201]],
  "species": ["V", "V", "V", "Os", "S"],
  "fractional_positions": [[0.000, 0.000, 0.500], [0.000, 0.500, 0.000], [0.500, 0.000, 0.000], [0.500, 0.500, 0.500], [0.000, 0.000, 0.000]]
}